Material: Ba2SbOs
Method: DFT, PBE
State: relaxed

Output
Fermi-level density of states: 3.81 states/eV/f.u.
E_form (uncorrected): 0.395 eV per atom

Lattice parameters (Å, degrees): 7.4459 9.4296 3.5615 90.00 90.00 90.00
Space group Cmmm (No. 65)
One atom of each set of equivalent atoms:
Ba 0.2500 0.2500 0.0000 [4 per cell]
Sb 0.0000 0.0000 0.5000 [2 per cell]
Os 0.0000 0.5000 0.5000 [2 per cell]